(1)
{"formula": "Ho6TmCd", "functional": "PBE-GGA", "state": "optimized geometry", "lattice_angstrom": [[9.1536, 0.0087, 0.1601], [4.5804, 7.1601, -0.1882], [4.5141, 2.2552, 3.6827]], "species": ["Ho", "Ho", "Ho", "Ho", "Ho", "Ho", "Tm", "Cd"], "frac_coords": [[0.0395, 0.4506, 0.7522], [0.7578, 0.9606, 0.7321], [0.5494, 0.2423, 0.1687], [0.2422, 0.0394, 0.2679], [0.9605, 0.5494, 0.2478], [0.4506, 0.7577, 0.8313], [0.5000, 0.5000, 0.5000], [0.0000, 0.0000, 0.0000]], "delta_e_f_ev_per_atom": 0.06, "n_ef_per_ev_fu": 11.79, "sg": "R-3, No. 148", "e_tot_ev_per_fu": -32.41}


(2)
{"formula": "SrSbMo", "functional": "PBE-GGA", "state": "optimized geometry", "lattice_angstrom": [[3.7318, 0.0000, 0.0000], [-1.8659, 3.2318, 0.0000], [0.0000, 0.0000, 6.7456]], "species": ["Mo", "Sb", "Sr"], "frac_coords": [[0.0000, 0.0000, 0.0445], [0.3333, 0.6667, 0.2841], [0.6667, 0.3333, 0.6714]], "e_above_lowest_polymorph_mev_per_atom": 273, "n_ef_per_ev_fu": 1.98, "formation_energy_uncorrected_kj_per_mol_atoms": 39, "sg": "P3m1, No. 156", "e_tot_ev_per_fu": -15.42}


(3)
{"formula": "BaCuIO2", "functional": "PBE-GGA", "state": "optimized geometry", "lattice_angstrom": [[4.4632, 0.0000, 0.0000], [0.0000, 4.4632, 0.0000], [0.0000, 0.0000, 7.4714]], "species": ["I", "O", "O", "Ba", "Cu"], "frac_coords": [[0.0000, 0.0000, 0.5000], [0.0000, 0.5000, 0.0000], [0.5000, 0.0000, 0.0000], [0.0000, 0.0000, 0.0000], [0.5000, 0.5000, 0.5000]], "e_above_lowest_polymorph_mev_per_atom": 422, "n_ef_per_ev_fu": 1.77, "formation_energy_uncorrected_kj_per_mol_atoms": -18, "sg": "P4/mmm, No. 123", "e_tot_ev_per_fu": -18.44}


(4)
{"formula": "GeSeBr2", "functional": "PBE-GGA", "state": "optimized geometry", "lattice_angstrom": [[6.6779, 0.0000, 0.0001], [-1.2912, 7.2652, -0.0005], [-0.4963, -3.7085, 6.6524]], "species": ["Ge", "Ge", "Se", "Se", "Br", "Br", "Br", "Br"], "frac_coords": [[0.4102, 0.9768, 0.1436], [0.6962, 0.8261, 0.7484], [0.5841, 0.1252, 0.4880], [0.4757, 0.6562, 0.9063], [0.0541, 0.9327, 0.1547], [0.8086, 0.4802, 0.5334], [0.3931, 0.7725, 0.4669], [0.4946, 0.2249, 0.0329]], "e_above_lowest_polymorph_mev_per_atom": 125, "n_ef_per_ev_fu": 0.00, "formation_energy_uncorrected_kj_per_mol_atoms": -34, "sg": "P1, No. 1", "e_tot_ev_per_fu": -12.85}


(5)
{"formula": "FeAg3Mo", "functional": "PBE-GGA", "state": "optimized geometry", "lattice_angstrom": [[4.7730, 0.0000, 0.0000], [0.0000, 4.7730, 0.0000], [0.0000, 0.0000, 4.7730]], "species": ["Mo", "Fe", "Ag", "Ag", "Ag"], "frac_coords": [[0.5000, 0.5000, 0.5000], [0.0000, 0.0000, 0.0000], [0.0000, 0.5000, 0.0000], [0.0000, 0.0000, 0.5000], [0.5000, 0.0000, 0.0000]], "delta_e_f_ev_per_atom": 1.47, "e_above_lowest_polymorph_mev_per_atom": 0, "n_ef_per_ev_fu": 3.13, "sg": "Pm-3m, No. 221", "e_tot_ev_per_fu": -20.52}


(6)
{"formula": "V2Fe2Hg", "functional": "PBE-GGA", "state": "optimized geometry", "lattice_angstrom": [[-1.7671, 4.0687, -5.3923], [-5.8353, -3.7273, -0.9002], [-1.3592, 1.7089, 1.7348]], "species": ["Fe", "Fe", "Fe", "Fe", "Hg", "Hg", "V", "V", "V", "V"], "frac_coords": [[0.3673, 0.8673, 0.0000], [0.8673, 0.6327, 0.0000], [0.6327, 0.1327, 0.0000], [0.1327, 0.3673, 0.0000], [0.0000, 0.0000, 0.0000], [0.5000, 0.5000, 0.0000], [0.1522, 0.6522, 0.5000], [0.6522, 0.8478, 0.5000], [0.8478, 0.3478, 0.5000], [0.3478, 0.1522, 0.5000]], "delta_e_f_ev_per_atom": 0.15, "e_above_lowest_polymorph_mev_per_atom": 0, "n_ef_per_ev_fu": 4.47, "sg": "P4/mbm, No. 127", "e_tot_ev_per_fu": -34.73}